1.
Material: HgAs2OsI
Method: DFT, PBE-GGA
State: optimized geometry

Values from the calculation:
The formation energy without anion corrections comes out at 366 meV/atom. The crystal system is tetragonal.

abc: 4.776 5.522 4.776
angles: 90.00 90.00 90.00
Atoms (fractional coordinates):
As1 0.500 0.000 0.000
As2 0.000 0.000 0.500
Hg1 0.000 0.500 0.000
Os1 0.000 0.000 0.000
I1 0.500 0.500 0.500

2.
Material: CaZrSc2Co
Method: DFT, PBE-GGA
State: optimized geometry

Values from the calculation:
The relative energy among the computed polymorphs is 0.000 eV/atom. The crystal system is tetragonal.

abc: 5.052 5.052 4.852
angles: 90.00 90.00 90.00
Atoms (fractional coordinates):
Sc1 0.500 0.000 0.000
Sc2 0.000 0.500 0.000
Zr1 0.000 0.000 0.500
Co1 0.000 0.000 0.000
Ca1 0.500 0.500 0.500

3.
Material: HoHfRh
Method: DFT, PBE-GGA
State: optimized geometry

Values from the calculation:
The crystal system is tetragonal.

abc: 3.376 3.376 6.132
angles: 105.98 105.98 90.00
Site moments in Bohr magnetons follow the coordinates.
Atoms (fractional coordinates):
Hf1 0.303 0.303 0.606  0.25
Rh1 0.683 0.683 0.367  0.06
Ho1 0.014 0.014 0.027  0.28

4.
Material: Pr2ScPb3
Method: DFT, PBE-GGA
State: optimized geometry

Values from the calculation:
The crystal system is orthorhombic.

abc: 5.152 6.402 7.052
angles: 117.00 111.43 90.00
Atoms (fractional coordinates):
Pb1 0.000 0.000 0.000
Pb2 0.358 0.358 0.717
Pb3 0.642 0.642 0.283
Sc1 0.000 0.500 0.000
Pr1 0.321 0.821 0.641
Pr2 0.679 0.179 0.359

5.
Material: La3PrAg4
Method: DFT, PBE-GGA
State: optimized geometry

Values from the calculation:
The crystal system is tetragonal.

abc: 3.814 3.814 15.252
angles: 90.00 90.00 90.00
Atoms (fractional coordinates):
Ag1 0.000 0.000 0.626
Ag2 0.000 0.000 0.879
Ag3 0.000 0.000 0.121
Ag4 0.000 0.000 0.374
La1 0.500 0.500 0.751
La2 0.500 0.500 0.500
La3 0.500 0.500 0.249
Pr1 0.500 0.500 0.000

6.
Material: K2Ir2O7
Method: DFT, PBE-GGA
State: optimized geometry

Values from the calculation:
The formation energy without anion corrections comes out at -940 meV/atom. The relative energy among the computed polymorphs is 0.000 eV/atom. The crystal system is orthorhombic.

abc: 7.430 7.494 7.494
angles: 64.61 60.28 60.28
Atoms (fractional coordinates):
O1 0.250 0.920 0.580
O2 0.578 0.039 0.196
O3 0.313 0.304 0.461
O4 0.422 0.961 0.804
O5 0.083 0.618 0.216
O6 0.917 0.382 0.784
O7 0.813 0.961 0.804
O8 0.187 0.039 0.196
O9 0.750 0.080 0.420
O10 0.417 0.284 0.882
O11 0.583 0.716 0.118
O12 0.922 0.304 0.461
O13 0.078 0.696 0.539
O14 0.687 0.696 0.539
Ir1 0.500 0.000 0.000
Ir2 0.500 0.000 0.500
Ir3 0.000 0.500 0.500
Ir4 0.000 0.000 0.500
K1 0.500 0.500 0.500
K2 0.500 0.500 0.000
K3 0.000 0.500 0.000
K4 0.000 0.000 0.000

7.
Material: TcNiIrRh
Method: DFT, PBE-GGA
State: optimized geometry

Values from the calculation:
The crystal system is orthorhombic.

abc: 2.673 4.079 5.180
angles: 90.00 105.02 90.00
Atoms (fractional coordinates):
Ni1 0.607 0.000 0.142
Tc1 0.357 0.000 0.646
Rh1 0.741 0.500 0.416
Ir1 0.002 0.500 0.935

8.
Material: CsKO2
Method: DFT, PBE-GGA
State: optimized geometry

Values from the calculation:
The formation energy without anion corrections comes out at -530 meV/atom. The crystal system is cubic.

abc: 5.009 5.009 5.009
angles: 60.00 60.00 60.00
Site moments in Bohr magnetons follow the coordinates.
Atoms (fractional coordinates):
Cs1 0.500 0.500 0.500  0.03
O1 0.750 0.750 0.750  0.80
O2 0.250 0.250 0.250  0.80
K1 0.000 0.000 0.000  0.00

9.
Material: Ac3Pm2Pb3
Method: DFT, PBE-GGA
State: optimized geometry

Values from the calculation:
The relative energy among the computed polymorphs is 0.120 eV/atom. The crystal system is orthorhombic.

abc: 4.584 5.318 12.163
angles: 102.63 100.86 90.00
Atoms (fractional coordinates):
Pm1 0.255 0.755 0.510
Pm2 0.745 0.245 0.490
Pb1 0.142 0.142 0.285
Pb2 0.858 0.858 0.715
Pb3 0.000 0.500 0.000
Ac1 0.379 0.379 0.759
Ac2 0.500 0.000 0.000
Ac3 0.621 0.621 0.241

10.
Material: Li5Hg2Bi2Au
Method: DFT, PBE-GGA
State: optimized geometry

Values from the calculation:
The crystal system is tetragonal.

abc: 3.431 11.055 11.055
angles: 90.00 90.00 90.00
Atoms (fractional coordinates):
Li1 0.500 0.973 0.190
Li2 0.500 0.810 0.973
Li3 0.500 0.473 0.310
Li4 0.500 0.690 0.473
Li5 0.500 0.310 0.527
Li6 0.500 0.027 0.810
Li7 0.500 0.527 0.690
Li8 0.500 0.190 0.027
Li9 0.500 0.500 0.000
Li10 0.500 0.000 0.500
Bi1 0.000 0.671 0.171
Bi2 0.000 0.829 0.671
Bi3 0.000 0.329 0.829
Bi4 0.000 0.171 0.329
Au1 0.000 0.000 0.000
Au2 0.000 0.500 0.500
Hg1 0.000 0.134 0.634
Hg2 0.000 0.866 0.366
Hg3 0.000 0.634 0.866
Hg4 0.000 0.366 0.134

11.
Material: Tb6PmEr2Th
Method: DFT, PBE-GGA
State: optimized geometry

Values from the calculation:
The crystal system is monoclinic.

abc: 9.420 8.783 8.783
angles: 115.91 93.05 93.05
Atoms (fractional coordinates):
Tb1 0.114 0.707 0.481
Tb2 0.060 0.113 0.764
Tb3 0.317 0.984 0.429
Tb4 0.560 0.764 0.113
Tb5 0.683 0.016 0.571
Tb6 0.183 0.571 0.016
Tb7 0.940 0.887 0.236
Tb8 0.386 0.519 0.293
Tb9 0.614 0.481 0.707
Tb10 0.817 0.429 0.984
Tb11 0.440 0.236 0.887
Tb12 0.886 0.293 0.519
Th1 0.750 0.035 0.965
Th2 0.250 0.965 0.035
Er1 0.054 0.298 0.199
Er2 0.554 0.199 0.298
Er3 0.946 0.702 0.801
Er4 0.446 0.801 0.702
Pm1 0.750 0.592 0.408
Pm2 0.250 0.408 0.592

12.
Material: NaHg2PbN
Method: DFT, PBE-GGA
State: optimized geometry

Values from the calculation:
The formation energy without anion corrections comes out at 1438 meV/atom. The crystal system is tetragonal.

abc: 5.524 6.358 5.524
angles: 90.00 90.00 90.00
Site moments in Bohr magnetons follow the coordinates.
Atoms (fractional coordinates):
Pb1 0.000 0.500 0.000  -0.03
N1 0.500 0.500 0.500  -0.36
Hg1 0.500 0.000 0.000  -0.01
Hg2 0.000 0.000 0.500  -0.01
Na1 0.000 0.000 0.000  0.00

13.
Material: Zn2OsPb
Method: DFT, PBE-GGA
State: optimized geometry

Values from the calculation:
The crystal system is orthorhombic.

abc: 3.309 4.522 4.690
angles: 90.00 90.00 90.00
Atoms (fractional coordinates):
Zn1 0.000 0.000 0.000
Zn2 0.500 0.500 0.000
Os1 0.500 0.000 0.500
Pb1 0.000 0.500 0.500

14.
Material: LiCd8Sn2
Method: DFT, PBE-GGA
State: optimized geometry

Values from the calculation:
The relative energy among the computed polymorphs is 0.002 eV/atom. The crystal system is monoclinic.

abc: 4.810 7.535 8.622
angles: 64.09 82.42 72.42
Atoms (fractional coordinates):
Cd1 0.134 0.696 0.199
Cd2 0.500 0.808 0.384
Cd3 0.134 0.895 0.801
Cd4 0.866 0.304 0.801
Cd5 0.866 0.105 0.199
Cd6 0.698 0.617 0.000
Cd7 0.500 0.192 0.616
Cd8 0.302 0.383 0.000
Sn1 0.000 0.700 0.600
Sn2 0.000 0.300 0.400
Li1 0.500 0.000 0.000

15.
Material: ScRe2Ir
Method: DFT, PBE-GGA
State: optimized geometry

Values from the calculation:
The relative energy among the computed polymorphs is 0.298 eV/atom. The crystal system is trigonal.

abc: 9.413 9.413 9.413
angles: 17.25 17.25 17.25
Atoms (fractional coordinates):
Ir1 0.750 0.750 0.750
Re1 0.005 0.005 0.005
Re2 0.495 0.495 0.495
Sc1 0.250 0.250 0.250

16.
Material: Pm19Dy4Er6
Method: DFT, PBE-GGA
State: optimized geometry

Values from the calculation:
The crystal system is cubic.

abc: 10.925 10.925 10.925
angles: 109.47 109.47 109.47
Atoms (fractional coordinates):
Pm1 0.799 0.343 0.018
Pm2 0.740 0.740 0.000
Pm3 0.740 0.000 0.740
Pm4 0.457 0.675 0.657
Pm5 0.000 0.740 0.740
Pm6 0.657 0.457 0.675
Pm7 0.000 0.000 0.000
Pm8 0.675 0.657 0.457
Pm9 0.982 0.325 0.781
Pm10 0.219 0.543 0.201
Pm11 0.781 0.982 0.325
Pm12 0.201 0.219 0.543
Pm13 0.260 0.260 0.000
Pm14 0.000 0.260 0.260
Pm15 0.543 0.201 0.219
Pm16 0.018 0.799 0.343
Pm17 0.260 0.000 0.260
Pm18 0.325 0.781 0.982
Pm19 0.343 0.018 0.799
Er1 0.625 0.500 0.125
Er2 0.500 0.875 0.375
Er3 0.500 0.125 0.625
Er4 0.375 0.500 0.875
Er5 0.875 0.375 0.500
Er6 0.125 0.625 0.500
Dy1 0.000 0.640 0.000
Dy2 0.360 0.360 0.360
Dy3 0.000 0.000 0.640
Dy4 0.640 0.000 0.000

17.
Material: YHo3Mg12
Method: DFT, PBE-GGA
State: optimized geometry

Values from the calculation:
The crystal system is tetragonal.

abc: 4.619 4.619 18.961
angles: 90.00 90.00 90.00
Atoms (fractional coordinates):
Mg1 0.500 0.500 0.749
Mg2 0.500 0.500 0.000
Mg3 0.500 0.000 0.375
Mg4 0.500 0.000 0.625
Mg5 0.500 0.000 0.874
Mg6 0.500 0.500 0.500
Mg7 0.000 0.500 0.375
Mg8 0.000 0.500 0.625
Mg9 0.000 0.500 0.126
Mg10 0.000 0.500 0.874
Mg11 0.500 0.000 0.126
Mg12 0.500 0.500 0.251
Ho1 0.000 0.000 0.500
Ho2 0.000 0.000 0.750
Ho3 0.000 0.000 0.250
Y1 0.000 0.000 0.000

18.
Material: KTlIn2Cu
Method: DFT, PBE-GGA
State: optimized geometry

Values from the calculation:
The crystal system is tetragonal.

abc: 5.252 5.252 5.425
angles: 90.00 90.00 90.00
Atoms (fractional coordinates):
K1 0.500 0.500 0.500
Tl1 0.000 0.000 0.500
In1 0.000 0.500 0.000
In2 0.500 0.000 0.000
Cu1 0.000 0.000 0.000

19.
Material: Hf2CuB2
Method: DFT, PBE-GGA
State: optimized geometry

Values from the calculation:
The crystal system is tetragonal.

abc: 6.161 6.161 3.390
angles: 90.00 90.00 90.00
Atoms (fractional coordinates):
B1 0.599 0.099 0.000
B2 0.099 0.401 0.000
B3 0.401 0.901 0.000
B4 0.901 0.599 0.000
Cu1 0.000 0.000 0.000
Cu2 0.500 0.500 0.000
Hf1 0.818 0.318 0.500
Hf2 0.318 0.182 0.500
Hf3 0.182 0.682 0.500
Hf4 0.682 0.818 0.500

20.
Material: HfZr2Cd5
Method: DFT, PBE-GGA
State: optimized geometry

Values from the calculation:
The crystal system is orthorhombic.

abc: 4.394 6.289 12.496
angles: 90.00 90.00 90.00
Atoms (fractional coordinates):
Cd1 0.500 0.246 0.124
Cd2 0.500 0.746 0.376
Cd3 0.500 0.254 0.624
Cd4 0.000 0.500 0.500
Cd5 0.000 0.502 0.749
Cd6 0.000 0.002 0.751
Cd7 0.000 0.000 0.000
Cd8 0.000 0.498 0.251
Cd9 0.000 0.998 0.249
Cd10 0.500 0.754 0.876
Zr1 0.500 0.741 0.123
Zr2 0.500 0.241 0.377
Zr3 0.500 0.759 0.623
Zr4 0.500 0.259 0.877
Hf1 0.000 0.000 0.500
Hf2 0.000 0.500 0.000

E values (in eV/atom) by entry order: -4.11; -6.04; -7.79; -4.88; -4.13; -5.91; -8.08; -3.50; -4.51; -2.46; -4.76; -1.35; -3.72; -1.55; -9.87; -4.32; -2.52; -2.55; -8.04; -4.01.